(1)
Density functional theory data (PBE-GGA) for crystalline LiCa2ZnAu6 at its relaxed geometry.

a b c (Å): 5.545 6.669 6.813
angles (deg): 88.08 66.04 65.67
Fractional coordinates of all 10 atoms:
Li (0.000, 0.000, 0.000)
Ca (0.250, 0.238, 0.262)
Ca (0.750, 0.762, 0.738)
Zn (0.500, 0.500, 0.500)
Au (0.183, 0.315, 0.818)
Au (0.245, 0.922, 0.591)
Au (0.317, 0.686, 0.183)
Au (0.683, 0.314, 0.817)
Au (0.755, 0.078, 0.409)
Au (0.817, 0.685, 0.182)

Properties
Calculated formation energy: -0.48 eV/atom
Space group: No. 2

(2)
Density functional theory data (PBE-GGA) for crystalline CsAg2IrCl8 at its relaxed geometry.

a b c (Å): 6.399 6.882 8.568
angles (deg): 77.47 84.10 89.48
Fractional coordinates of all 12 atoms:
Cs (0.000, 0.000, 0.000)
Ag (0.431, 0.499, 0.208)
Ag (0.569, 0.501, 0.792)
Ir (0.000, 0.500, 0.500)
Cl (0.116, 0.511, 0.750)
Cl (0.247, 0.746, 0.369)
Cl (0.254, 0.264, 0.462)
Cl (0.492, 0.232, 0.046)
Cl (0.508, 0.768, 0.954)
Cl (0.746, 0.736, 0.538)
Cl (0.753, 0.254, 0.631)
Cl (0.884, 0.489, 0.250)

Properties
Space group: No. 2
Raw formation energy: -699 meV/atom

(3)
Density functional theory data (PBE-GGA) for crystalline Pa4P2N5 at its relaxed geometry.

a b c (Å): 11.142 11.142 7.097
angles (deg): 108.41 108.41 18.49
Fractional coordinates of all 11 atoms:
Pa (0.019, 0.019, 0.292)
Pa (0.320, 0.320, 0.619)
Pa (0.680, 0.680, 0.381)
Pa (0.981, 0.981, 0.708)
P (0.449, 0.449, 0.980)
P (0.551, 0.551, 0.020)
N (0.119, 0.119, 0.416)
N (0.235, 0.235, 0.348)
N (0.500, 0.500, 0.500)
N (0.765, 0.765, 0.652)
N (0.881, 0.881, 0.584)

Properties
Space group: No. 12
Raw formation energy: -1207 meV/atom

Across the entries above, VASP energy takes the values -3.1651; -3.2145; -9.4281 eV per atom, respectively.
Across the entries above, DOS at the Fermi energy takes the values 3.4; 11.0; 2.1 states/eV/cell, respectively.